Material: LiSmHg6
Method: DFT, PBE-GGA
State: optimized geometry

Cell: 5.063 6.613 6.613 Å, 60.08 90.00 90.00°
Fractional positions:
Li: 0.000 0.000 0.000
Sm: 0.500 0.668 0.668
Hg: 0.000 0.009 0.497
Hg: 0.000 0.497 0.009
Hg: 0.000 0.497 0.497
Hg: 0.500 0.163 0.163
Hg: 0.500 0.163 0.678
Hg: 0.500 0.678 0.163

Calculated values
DOS(E_F) in states/eV/f.u.: 3.23
Space-group type: Amm2
Size of the total moment in μB/f.u.: 0.0
E_form in eV per formula unit: -2.17

Material: Li4SmHg5
Method: DFT, PBE-GGA
State: optimized geometry

Cell: 3.459 3.459 16.933 Å, 90.00 90.00 90.00°
Fractional positions:
Li: 0.000 0.000 0.093
Li: 0.000 0.000 0.280
Li: 0.000 0.000 0.720
Li: 0.000 0.000 0.907
Sm: 0.000 0.000 0.500
Hg: 0.500 0.500 0.000
Hg: 0.500 0.500 0.186
Hg: 0.500 0.500 0.374
Hg: 0.500 0.500 0.626
Hg: 0.500 0.500 0.814

Calculated values
DOS(E_F) in states/eV/f.u.: 3.65
Space-group type: P4/mmm
Size of the total moment in μB/f.u.: 0.1
E_form in eV per formula unit: -3.76

Material: Li2SmHg4
Method: DFT, PBE-GGA
State: optimized geometry

Cell: 8.690 8.690 8.690 Å, 31.73 31.73 31.73°
Fractional positions:
Li: 0.243 0.243 0.243
Li: 0.757 0.757 0.757
Sm: 0.000 0.000 0.000
Hg: 0.130 0.130 0.130
Hg: 0.400 0.400 0.400
Hg: 0.600 0.600 0.600
Hg: 0.870 0.870 0.870

Calculated values
DOS(E_F) in states/eV/f.u.: 4.13
Space-group type: R-3m
Size of the total moment in μB/f.u.: 0.0
E_form in eV per formula unit: -2.08

Material: Li3Sm2Hg4
Method: DFT, PBE-GGA
State: optimized geometry

Cell: 4.978 5.172 9.138 Å, 81.01 89.96 61.25°
Fractional positions:
Li: 0.000 0.000 0.000
Li: 0.366 0.267 0.426
Li: 0.634 0.733 0.574
Sm: 0.299 0.403 0.768
Sm: 0.701 0.597 0.232
Hg: 0.054 0.890 0.359
Hg: 0.356 0.287 0.112
Hg: 0.644 0.713 0.888
Hg: 0.946 0.110 0.641

Calculated values
DOS(E_F) in states/eV/f.u.: 3.92
Relative energy among the computed polymorphs in eV per formula unit: 0.00
Space-group type: P-1
Size of the total moment in μB/f.u.: 0.0
E_form in eV per formula unit: -3.40

Material: Li3Sm2Hg4
Method: DFT, PBE-GGA
State: optimized geometry

Cell: 8.492 8.492 8.311 Å, 90.00 90.00 137.79°
Fractional positions:
Li: 0.000 0.000 0.000
Li: 0.033 0.467 0.250
Li: 0.467 0.033 0.750
Li: 0.500 0.500 0.500
Li: 0.533 0.967 0.250
Li: 0.967 0.533 0.750
Sm: 0.117 0.883 0.419
Sm: 0.383 0.617 0.919
Sm: 0.617 0.383 0.081
Sm: 0.883 0.117 0.581
Hg: 0.183 0.817 0.039
Hg: 0.204 0.296 0.250
Hg: 0.296 0.204 0.750
Hg: 0.317 0.683 0.539
Hg: 0.683 0.317 0.461
Hg: 0.704 0.796 0.250
Hg: 0.796 0.704 0.750
Hg: 0.817 0.183 0.961

Calculated values
DOS(E_F) in states/eV/f.u.: 6.09
Relative energy among the computed polymorphs in eV per formula unit: 0.04
Space-group type: Cmce
Size of the total moment in μB/f.u.: 0.0
E_form in eV per formula unit: -3.36

Material: Li7Sm3Hg4
Method: DFT, PBE-GGA
State: optimized geometry

Cell: 8.493 8.493 9.169 Å, 122.12 122.12 33.41°
Fractional positions:
Li: 0.000 0.000 0.000
Li: 0.142 0.142 0.941
Li: 0.342 0.342 0.491
Li: 0.495 0.495 0.824
Li: 0.505 0.505 0.176
Li: 0.658 0.658 0.509
Li: 0.858 0.858 0.059
Sm: 0.000 0.000 0.500
Sm: 0.276 0.276 0.774
Sm: 0.724 0.724 0.226
Hg: 0.136 0.136 0.338
Hg: 0.350 0.350 0.203
Hg: 0.650 0.650 0.797
Hg: 0.864 0.864 0.662

Calculated values
DOS(E_F) in states/eV/f.u.: 9.80
Space-group type: C2/m
Size of the total moment in μB/f.u.: 0.0
E_form in eV per formula unit: -3.77

Material: LiSmHg
Method: DFT, PBE-GGA
State: optimized geometry

Cell: 9.228 9.228 9.228 Å, 158.76 146.48 40.02°
Fractional positions:
Li: 0.248 0.000 0.248
Li: 0.752 0.000 0.752
Sm: 0.171 0.671 0.500
Sm: 0.829 0.329 0.500
Hg: 0.360 0.860 0.500
Hg: 0.640 0.140 0.500

Calculated values
DOS(E_F) in states/eV/f.u.: 2.22
Relative energy among the computed polymorphs in eV per formula unit: 0.45
Space-group type: Immm
Size of the total moment in μB/f.u.: 0.0
E_form in eV per formula unit: -0.60

Material: LiSm3Hg4
Method: DFT, PBE-GGA
State: optimized geometry

Cell: 9.400 9.400 9.400 Å, 157.54 135.28 50.60°
Fractional positions:
Li: 0.000 0.000 0.000
Sm: 0.221 0.721 0.500
Sm: 0.500 0.500 0.000
Sm: 0.779 0.279 0.500
Hg: 0.149 0.880 0.269
Hg: 0.389 0.120 0.269
Hg: 0.611 0.880 0.731
Hg: 0.851 0.120 0.731

Calculated values
DOS(E_F) in states/eV/f.u.: 6.50
Relative energy among the computed polymorphs in eV per formula unit: 0.88
Space-group type: Immm
Size of the total moment in μB/f.u.: 0.0
E_form in eV per formula unit: -2.71

Material: LiSmHg2
Method: DFT, PBE-GGA
State: optimized geometry

Cell: 5.000 5.000 5.000 Å, 60.00 60.00 60.00°
Fractional positions:
Li: 0.000 0.000 0.000
Sm: 0.250 0.250 0.250
Hg: 0.500 0.500 0.500
Hg: 0.750 0.750 0.750

Calculated values
DOS(E_F) in states/eV/f.u.: 0.99
Relative energy among the computed polymorphs in eV per formula unit: 0.39
Space-group type: F-43m
Size of the total moment in μB/f.u.: 0.0
E_form in eV per formula unit: -1.43

Material: LiSm3Hg4
Method: DFT, PBE-GGA
State: optimized geometry

Cell: 9.252 9.252 9.252 Å, 32.73 32.73 32.73°
Fractional positions:
Li: 0.000 0.000 0.000
Sm: 0.256 0.256 0.256
Sm: 0.500 0.500 0.500
Sm: 0.744 0.744 0.744
Hg: 0.121 0.121 0.121
Hg: 0.374 0.374 0.374
Hg: 0.626 0.626 0.626
Hg: 0.879 0.879 0.879

Calculated values
DOS(E_F) in states/eV/f.u.: 7.90
Relative energy among the computed polymorphs in eV per formula unit: 0.00
Space-group type: R-3m
Size of the total moment in μB/f.u.: 0.0
E_form in eV per formula unit: -3.58

Material: LiSmHg2
Method: DFT, PBE-GGA
State: optimized geometry

Cell: 3.497 3.497 7.445 Å, 90.00 90.00 90.00°
Fractional positions:
Li: 0.000 0.000 0.000
Sm: 0.000 0.000 0.500
Hg: 0.500 0.500 0.212
Hg: 0.500 0.500 0.788

Calculated values
DOS(E_F) in states/eV/f.u.: 3.15
Relative energy among the computed polymorphs in eV per formula unit: 0.26
Space-group type: P4/mmm
Size of the total moment in μB/f.u.: 0.3
E_form in eV per formula unit: -1.56

Material: LiSmHg2
Method: DFT, PBE-GGA
State: optimized geometry

Cell: 5.251 5.251 3.554 Å, 90.00 90.00 90.00°
Fractional positions:
Li: 0.000 0.000 0.000
Sm: 0.500 0.500 0.000
Hg: 0.000 0.500 0.500
Hg: 0.500 0.000 0.500

Calculated values
DOS(E_F) in states/eV/f.u.: 2.47
Relative energy among the computed polymorphs in eV per formula unit: 0.30
Space-group type: P4/mmm
Size of the total moment in μB/f.u.: 0.0
E_form in eV per formula unit: -1.52

- The highest E_form belongs to which entry?
  LiSmHg

- Look up the DOS(E_F) of the fifth one.
  6.09 states/eV/f.u.

- What is the E_form in the seventh record?
  -0.60 eV per formula unit